A relaxed structure of Ru2PbW, computed with GGA-PBE.

```
Ru2PbW
1.0
0.000 3.228 3.228
3.228 0.000 3.228
3.228 3.228 0.000
Ru Pb W
2 1 1
Cartesian
0.000 0.000 0.000
1.614 1.614 1.614
4.843 4.843 4.843
3.228 3.228 3.228
```

Calculated values
- Size of the total moment: 1.520 μB per formula unit
- ρ: 14.64 Mg/m³
- Formation enthalpy at 0 K: 0.7884 eV/atom